Record 1
This record from Alexandria via LeMat-Bulk describes a geometry-optimized Rb3CeU3Te8 structure. The functional is GGA-PBE.

a = 9.0210 Å, b = 9.0213 Å, c = 10.1608 Å
α = 116.34°, β = 90.00°, γ = 120.00°
Positions (direct):
1 U 0.0000 0.5000 0.5000
2 U 0.5000 0.0000 0.5000
3 U 0.5000 0.5000 0.5000
4 Te 0.2375 0.9632 0.7008
5 Te 0.2743 0.0368 0.2992
6 Te 0.7625 0.5250 0.2992
7 Te 0.7625 0.0368 0.2992
8 Te 0.2375 0.4750 0.7008
9 Te 0.7335 0.4670 0.7006
10 Te 0.2665 0.5330 0.2994
11 Te 0.7257 0.9632 0.7008
12 Rb 0.5000 0.5000 0.0000
13 Rb 0.0000 0.0000 0.0000
14 Rb 0.0000 0.5000 0.0000
15 Ce 0.0000 0.0000 0.5000

formation energy without anion corrections = -0.939 eV/atom

=====

Record 2
This record from Alexandria via LeMat-Bulk describes a geometry-optimized Rb3Ce2UTe6 structure. The functional is GGA-PBE.

a = 8.0497 Å, b = 8.0497 Å, c = 8.9865 Å
α = 98.58°, β = 98.58°, γ = 120.01°
Positions (direct):
1 Te 0.6037 0.9322 0.7962
2 Te 0.3963 0.0678 0.2038
3 Te 0.9322 0.6037 0.7962
4 Te 0.2601 0.2601 0.7957
5 Te 0.7399 0.7399 0.2043
6 Te 0.0678 0.3963 0.2038
7 Ce 0.3335 0.6665 0.0000
8 Ce 0.6665 0.3335 0.0000
9 Rb 0.5000 0.5000 0.5000
10 Rb 0.8317 0.1683 0.5000
11 Rb 0.1683 0.8317 0.5000
12 U 0.0000 0.0000 0.0000

formation energy without anion corrections = -1.166 eV/atom